1.
A relaxed structure of SrAc2IrO8. Source: Alexandria via LeMat-Bulk, functional PBE-GGA.

**Spin magnetization**: 1.194 μB per formula unit
**Raw formation energy**: -23.9 eV per formula unit

The structure in POSCAR format:
```
SrAc2IrO8
1.0
4.570 -0.305 -0.002
-0.295 5.515 -0.005
0.003 0.008 7.569
Sr Ac Ir O
1 2 1 8
direct
0.000 0.000 0.500
0.500 0.500 0.756
0.500 0.500 0.244
0.000 0.000 0.000
0.069 0.770 0.187
0.614 0.847 0.000
0.931 0.230 0.188
0.931 0.230 0.813
0.386 0.153 0.000
0.069 0.770 0.812
0.524 0.745 0.500
0.476 0.255 0.500
```

2.
A relaxed structure of Nd6C3ClO2. Source: Alexandria via LeMat-Bulk, functional PBE-GGA.

**Spin magnetization**: 0.000 μB per formula unit
**Raw formation energy**: -15.1 eV per formula unit

The structure in POSCAR format:
```
Nd6C3ClO2
1.0
3.760 0.000 0.000
0.000 7.612 0.256
-1.880 -2.210 7.945
Nd C Cl O
6 3 1 2
direct
0.322 0.914 0.645
0.667 0.587 0.335
0.678 0.086 0.355
0.997 0.278 0.995
0.003 0.722 0.005
0.333 0.413 0.665
0.500 0.500 0.000
0.834 0.168 0.667
0.166 0.832 0.333
0.500 0.000 0.000
0.829 0.663 0.657
0.171 0.337 0.343
```

3.
A relaxed structure of PmCuBiAs. Source: Alexandria via LeMat-Bulk, functional PBE-GGA.

**Spin magnetization**: 0.000 μB per formula unit
**Formation energy**: -0.25 eV per atom

The structure in POSCAR format:
```
PmCuBiAs
1.0
5.087 0.000 0.000
2.544 4.406 0.000
2.544 1.469 4.154
As Bi Cu Pm
1 1 1 1
direct
0.500 0.500 0.500
0.750 0.750 0.750
0.000 0.000 0.000
0.250 0.250 0.250
```

4.
A relaxed structure of ZrNbBr2. Source: Alexandria via LeMat-Bulk, functional PBE-GGA.

**Spin magnetization**: 2.440 μB per formula unit
**Energy above the lowest structure with this stoichiometry**: 0.445 eV per atom
**Raw formation energy**: 1.0 eV per formula unit

The structure in POSCAR format:
```
ZrNbBr2
1.0
0.000 3.396 3.396
3.396 0.000 3.396
3.396 3.396 0.000
Nb Br Zr
1 2 1
direct
0.500 0.500 0.500
0.250 0.250 0.250
0.750 0.750 0.750
0.000 0.000 0.000
```

5.
A relaxed structure of NaTl2In. Source: Alexandria via LeMat-Bulk, functional PBE-GGA.

**Spin magnetization**: 0.000 μB per formula unit
**Formation energy**: -0.04 eV per atom

The structure in POSCAR format:
```
NaTl2In
1.0
3.784 0.000 0.000
1.892 3.277 0.000
1.892 1.092 9.600
Na Tl In
1 2 1
direct
0.667 0.667 0.000
0.087 0.087 0.738
0.246 0.246 0.262
0.500 0.500 0.500
```

6.
A relaxed structure of Y3Rh2. Source: Alexandria via LeMat-Bulk, functional PBE-GGA.

**Spin magnetization**: 0.000 μB per formula unit
**Energy above the lowest structure with this stoichiometry**: 0.000 eV per atom
**Formation energy**: -0.74 eV per atom

The structure in POSCAR format:
```
Y3Rh2
1.0
14.975 0.003 0.000
6.456 13.512 0.000
-10.716 -6.757 7.985
Y Rh
42 28
direct
0.250 0.750 0.500
0.750 0.250 0.500
0.387 0.887 0.500
0.887 0.387 0.500
0.613 0.113 0.500
0.113 0.613 0.500
0.850 0.350 0.200
0.150 0.650 0.800
0.350 0.150 0.500
0.650 0.850 0.500
0.386 0.517 0.290
0.227 0.096 0.710
0.886 0.596 0.869
0.727 0.017 0.131
0.096 0.386 0.869
0.517 0.227 0.131
0.017 0.886 0.290
0.596 0.727 0.710
0.614 0.483 0.710
0.773 0.904 0.290
0.114 0.404 0.131
0.273 0.983 0.869
0.904 0.614 0.131
0.483 0.773 0.869
0.983 0.114 0.710
0.404 0.273 0.290
0.632 0.504 0.279
0.225 0.353 0.721
0.132 0.853 0.128
0.725 0.004 0.872
0.353 0.632 0.128
0.504 0.225 0.872
0.004 0.132 0.279
0.853 0.725 0.721
0.368 0.496 0.721
0.775 0.647 0.279
0.868 0.147 0.872
0.275 0.996 0.128
0.647 0.368 0.872
0.496 0.775 0.128
0.996 0.868 0.721
0.147 0.275 0.279
0.250 0.250 0.000
0.750 0.750 0.000
0.500 0.500 0.000
0.000 0.000 0.000
0.367 0.367 0.000
0.867 0.867 0.000
0.633 0.633 0.000
0.133 0.133 0.000
0.597 0.097 0.694
0.403 0.903 0.306
0.097 0.403 0.500
0.903 0.597 0.500
0.465 0.965 0.807
0.158 0.658 0.193
0.965 0.158 0.500
0.658 0.465 0.500
0.535 0.035 0.193
0.842 0.342 0.807
0.035 0.842 0.500
0.342 0.535 0.500
0.714 0.214 0.142
0.073 0.573 0.858
0.214 0.073 0.500
0.573 0.714 0.500
0.286 0.786 0.858
0.927 0.427 0.142
0.786 0.927 0.500
0.427 0.286 0.500
```

7.
A relaxed structure of Ac3Au2. Source: Alexandria via LeMat-Bulk, functional PBE-GGA.

**Spin magnetization**: 0.000 μB per formula unit
**Energy above the lowest structure with this stoichiometry**: 0.046 eV per atom
**Formation energy**: -0.57 eV per atom

The structure in POSCAR format:
```
Ac3Au2
1.0
4.386 0.000 0.000
-2.193 10.479 0.029
0.000 -2.351 12.151
Ac Au
9 6
direct
0.829 0.658 0.054
0.171 0.342 0.946
0.794 0.587 0.389
0.206 0.413 0.611
0.131 0.261 0.279
0.869 0.739 0.721
0.463 0.925 0.342
0.537 0.075 0.658
0.500 0.000 0.000
0.617 0.234 0.463
0.383 0.766 0.537
0.695 0.390 0.139
0.305 0.610 0.861
0.976 0.953 0.170
0.024 0.047 0.830
```

8.
A relaxed structure of FeRu2Au. Source: Alexandria via LeMat-Bulk, functional PBE-GGA.

**Spin magnetization**: 3.155 μB per formula unit
**Energy above the lowest structure with this stoichiometry**: 0.088 eV per atom
**Formation energy**: 0.29 eV per atom

The structure in POSCAR format:
```
FeRu2Au
1.0
4.749 0.001 -0.005
1.620 4.464 0.005
-3.182 -2.236 2.726
Au Fe Ru
1 1 2
direct
0.500 0.500 0.000
0.250 0.750 0.500
0.000 0.000 0.000
0.750 0.250 0.500
```

Number 1: final energy -6.86 eV per atom. Number 2: final energy -6.93 eV per atom. Number 3: final energy -4.59 eV per atom. Number 4: final energy -5.23 eV per atom. Number 5: final energy -2.23 eV per atom. Number 6: final energy -7.56 eV per atom. Number 7: final energy -4.35 eV per atom. Number 8: final energy -7.28 eV per atom.